1.
Below is crystalline In3GaHg at its relaxed geometry, with properties calculated at the PBE level.

Cell: 5.414 5.414 5.414 Å, 90.00 90.00 90.00°
Fractional coordinates of all 5 atoms:
In: 0.000 0.000 0.500
In: 0.000 0.500 0.000
In: 0.500 0.000 0.000
Ga: 0.000 0.000 0.000
Hg: 0.500 0.500 0.500

total DFT energy (no corrections) = -0.076 hartree per atom
DFT formation energy = 5.297 kcal/mol of atoms
polymorph energy (0 for the lowest one) = 0.173 eV per atom
mass density = 6.431 Mg/m³
crystal system = cubic

2.
Below is crystalline In2GaHg2 at its relaxed geometry, with properties calculated at the PBE level.

Cell: 7.918 7.918 4.219 Å, 90.00 90.00 90.00°
Fractional coordinates of all 10 atoms:
In: 0.147 0.353 0.000
In: 0.353 0.853 0.000
In: 0.647 0.147 0.000
In: 0.853 0.647 0.000
Ga: 0.000 0.000 0.000
Ga: 0.500 0.500 0.000
Hg: 0.158 0.658 0.500
Hg: 0.342 0.158 0.500
Hg: 0.658 0.842 0.500
Hg: 0.842 0.342 0.500

total DFT energy (no corrections) = -0.064 hartree per atom
DFT formation energy = 2.053 kcal/mol of atoms
polymorph energy (0 for the lowest one) = 0.000 eV per atom
mass density = 8.795 Mg/m³
crystal system = tetragonal

> What is the formula in the second record?

In2GaHg2

Please write out number 2 again, unchanged.
Below is crystalline In2GaHg2 at its relaxed geometry, with properties calculated at the PBE level.

Cell: 7.918 7.918 4.219 Å, 90.00 90.00 90.00°
Fractional coordinates of all 10 atoms:
In: 0.147 0.353 0.000
In: 0.353 0.853 0.000
In: 0.647 0.147 0.000
In: 0.853 0.647 0.000
Ga: 0.000 0.000 0.000
Ga: 0.500 0.500 0.000
Hg: 0.158 0.658 0.500
Hg: 0.342 0.158 0.500
Hg: 0.658 0.842 0.500
Hg: 0.842 0.342 0.500

total DFT energy (no corrections) = -0.064 hartree per atom
DFT formation energy = 2.053 kcal/mol of atoms
polymorph energy (0 for the lowest one) = 0.000 eV per atom
mass density = 8.795 Mg/m³
crystal system = tetragonal

> Which of these has the lowest mass density?

In3GaHg

> Which formula does entry 2 have?

In2GaHg2